Entry 1:
A plane-wave DFT calculation with GGA-PBE was carried out for a geometry-optimized TlBiSb structure.

E_form (uncorrected)   81 meV per atom
Energy above the most stable polymorph in this dataset   0.064 eV/atom
Space group   No. 12
M_tot   0.00 μB/cell
VASP energy   -20.3 eV per cell
ρ   9.2 g/cm3

Cell: 6.617 6.617 5.966 Å, 116.41 116.41 59.52°
Element x y z (fractional)
Tl (0.126, 0.126, 0.375)
Tl (0.874, 0.874, 0.625)
Bi (0.000, 0.500, 0.000)
Bi (0.500, 0.000, 0.000)
Sb (0.470, 0.470, 0.720)
Sb (0.530, 0.530, 0.280)

***

Entry 2:
A plane-wave DFT calculation with GGA-PBE was carried out for a geometry-optimized Tl12BiSb7 structure.

E_form (uncorrected)   29 meV per atom
Space group   No. 148
M_tot   0.00 μB/cell
VASP energy   -60.6 eV per cell
ρ   8.8 g/cm3

Cell: 10.075 10.075 10.075 Å, 113.02 113.02 113.02°
Element x y z (fractional)
Tl (0.038, 0.640, 0.943)
Tl (0.057, 0.962, 0.360)
Tl (0.183, 0.705, 0.506)
Tl (0.295, 0.494, 0.817)
Tl (0.360, 0.057, 0.962)
Tl (0.494, 0.817, 0.295)
Tl (0.506, 0.183, 0.705)
Tl (0.640, 0.943, 0.038)
Tl (0.705, 0.506, 0.183)
Tl (0.817, 0.295, 0.494)
Tl (0.943, 0.038, 0.640)
Tl (0.962, 0.360, 0.057)
Bi (0.500, 0.500, 0.500)
Sb (0.000, 0.000, 0.000)
Sb (0.085, 0.300, 0.370)
Sb (0.300, 0.370, 0.085)
Sb (0.370, 0.085, 0.300)
Sb (0.630, 0.915, 0.700)
Sb (0.700, 0.630, 0.915)
Sb (0.915, 0.700, 0.630)

***

no.,Fermi-level density of states (states/eV per atom)
1,0.49
2,0.37